Cs3DyAs2O8 (PBE, relaxed); uncorrected formation energy = -2.00 eV per atom; volume = 278 Å³/cell
1.0
6.049 0.000 0.000
-3.025 5.239 0.000
0.000 0.000 8.760
Cs Dy As O
3 1 2 8
direct
0.000 0.000 0.000 Cs
0.333 0.667 0.758 Cs
0.667 0.333 0.242 Cs
0.000 0.000 0.500 Dy
0.333 0.667 0.286 As
0.667 0.333 0.714 As
0.177 0.354 0.351 O
0.177 0.823 0.351 O
0.333 0.667 0.092 O
0.354 0.177 0.649 O
0.646 0.823 0.351 O
0.667 0.333 0.908 O
0.823 0.177 0.649 O
0.823 0.646 0.649 O